# 1
Entry from Alexandria via LeMat-Bulk: a relaxed structure of AcErLuAg (PBE).

Results
Magnetic moment   0.000 Bohr magnetons per cell
Space group   F-43m (216)
DOS(E_F)   5.23 states/eV/cell
Raw total energy   -15.245 eV/cell

Unit cell a=5.509 b=5.509 c=5.509 alpha=60.00 beta=60.00 gamma=60.00
Atoms (fractional coordinates):
Ac: 0.750 0.750 0.750
Lu: 0.500 0.500 0.500
Ag: 0.250 0.250 0.250
Er: 0.000 0.000 0.000

# 2
Entry from Alexandria via LeMat-Bulk: a relaxed structure of AcErMg2Ag4 (PBE).

Results
Magnetic moment   0.000 Bohr magnetons per cell
Space group   R-3m (166)
DOS(E_F)   5.40 states/eV/cell
Raw total energy   -25.443 eV/cell

Unit cell a=4.832 b=4.832 c=9.821 alpha=75.76 beta=75.76 gamma=60.00
Atoms (fractional coordinates):
Ac: 0.000 0.000 0.000
Er: 0.500 0.500 0.500
Mg: 0.761 0.761 0.717
Mg: 0.239 0.239 0.283
Ag: 0.397 0.397 0.808
Ag: 0.880 0.880 0.359
Ag: 0.120 0.120 0.641
Ag: 0.603 0.603 0.192

# 3
Entry from Alexandria via LeMat-Bulk: a relaxed structure of AcEr2MgAg4 (PBE).

Results
Magnetic moment   0.000 Bohr magnetons per cell
Space group   R-3m (166)
DOS(E_F)   5.89 states/eV/cell
Raw total energy   -28.182 eV/cell

Unit cell a=5.053 b=5.053 c=9.437 alpha=74.47 beta=74.47 gamma=60.00
Atoms (fractional coordinates):
Ac: 0.000 0.000 0.000
Er: 0.763 0.763 0.712
Er: 0.237 0.237 0.288
Mg: 0.500 0.500 0.500
Ag: 0.397 0.397 0.810
Ag: 0.875 0.875 0.374
Ag: 0.125 0.125 0.626
Ag: 0.603 0.603 0.190